Entry 1:
PmHo2PaS4 | PBE | optimized geometry

abc: 3.881 6.853 6.772
angles: 71.12 90.00 90.00
Atoms (fractional coordinates):
Pa: 0.000 0.500 0.500
Pm: 0.500 0.500 0.000
S: 0.000 0.760 0.742
S: 0.500 0.242 0.749
S: 0.500 0.758 0.251
S: 0.000 0.240 0.258
Ho: 0.000 0.000 0.000
Ho: 0.500 0.000 0.500

Results
Uncorrected formation energy   -1877 meV/atom


Entry 2:
PmHoThPa | PBE | optimized geometry

abc: 5.562 5.562 5.562
angles: 60.00 60.00 60.00
Each line ends with the local moment (μB).
Atoms (fractional coordinates):
Pm: 0.250 0.250 0.250  0.04
Th: 0.750 0.750 0.750  0.04
Ho: 0.500 0.500 0.500  0.04
Pa: 0.000 0.000 0.000  0.21

Results
Formation energy   0.361 eV per atom


Entry 3:
PmHoTmPa | PBE | optimized geometry

abc: 5.572 5.572 5.572
angles: 60.00 60.00 60.00
Each line ends with the local moment (μB).
Atoms (fractional coordinates):
Tm: 0.750 0.750 0.750  0.36
Ho: 0.000 0.000 0.000  0.44
Pa: 0.250 0.250 0.250  1.43
Pm: 0.500 0.500 0.500  0.33

Results
Formation energy   0.376 eV per atom


Entry 4:
Pr2HoPa | PBE | optimized geometry

abc: 3.395 3.395 12.681
angles: 82.31 82.31 60.00
Atoms (fractional coordinates):
Pr: 0.086 0.086 0.741
Pr: 0.914 0.914 0.259
Ho: 0.500 0.500 0.500
Pa: 0.000 0.000 0.000

Results
Formation energy   0.322 eV per atom
Energy above the lowest structure with this stoichiometry   136 meV per atom


Entry 5:
PrHo2Pa | PBE | optimized geometry

abc: 3.414 3.414 12.338
angles: 82.05 82.05 60.00
Atoms (fractional coordinates):
Pa: 0.500 0.500 0.500
Pr: 0.000 0.000 0.000
Ho: 0.093 0.093 0.720
Ho: 0.907 0.907 0.280

Results
Formation energy   0.192 eV per atom
Energy above the lowest structure with this stoichiometry   65 meV per atom


Entry 6:
Pr2HoPa | PBE | optimized geometry

abc: 3.462 3.462 10.517
angles: 90.00 90.00 90.00
Atoms (fractional coordinates):
Pr: 0.000 0.000 0.766
Pr: 0.000 0.000 0.234
Pa: 0.500 0.500 0.000
Ho: 0.500 0.500 0.500

Results
Formation energy   0.186 eV per atom
Energy above the lowest structure with this stoichiometry   0 meV per atom


Entry 7:
PrHo2Pa | PBE | optimized geometry

abc: 3.437 3.437 10.252
angles: 90.00 90.00 90.00
Each line ends with the local moment (μB).
Atoms (fractional coordinates):
Ho: 0.000 0.000 0.227  0.00
Ho: 0.000 0.000 0.773  0.00
Pa: 0.500 0.500 0.000  0.06
Pr: 0.500 0.500 0.500  0.00

Results
Formation energy   0.127 eV per atom
Energy above the lowest structure with this stoichiometry   0 meV per atom


Entry 8:
PrHo2PaSb4 | PBE | optimized geometry

abc: 4.411 7.666 7.619
angles: 109.35 90.00 90.00
Each line ends with the local moment (μB).
Atoms (fractional coordinates):
Ho: 0.500 0.000 0.500  0.01
Ho: 0.000 0.500 0.500  0.00
Pa: 0.500 0.500 0.000  0.81
Sb: 0.500 0.259 0.258  -0.01
Sb: 0.000 0.747 0.255  -0.01
Sb: 0.500 0.741 0.742  -0.01
Sb: 0.000 0.253 0.745  -0.01
Pr: 0.000 0.000 0.000  0.01

Results
Uncorrected formation energy   -958 meV/atom


Final energy values (in Ry per atom) by entry order: -0.5046; -0.4557; -0.4004; -0.4106; -0.4165; -0.4206; -0.4212; -0.4372.
Total magnetic moment values (in Bohr magnetons per cell) by entry order: 0.00; 0.45; 3.43; 0.00; 0.00; 0.00; 0.08; 0.92.